Entry 1:
Entry from Alexandria via LeMat-Bulk: crystalline Mg8TlIr2 at its relaxed geometry (PBE).

Results
The value obtained for the magnetization is 0.00 μB per cell. Its final energy is -3.165 eV per atom.

abc: 4.735 6.524 8.095
angles: 112.80 105.48 92.62
Space group P1 (No. 1)
Unique sites:
Mg 0.000 0.000 0.000
Mg 0.022 0.477 0.054
Mg 0.222 0.358 0.408
Mg 0.408 0.885 0.652
Mg 0.460 0.599 0.892
Mg 0.622 0.074 0.248
Mg 0.647 0.653 0.301
Mg 0.971 0.145 0.651
Tl 0.855 0.582 0.650
Ir 0.147 0.909 0.322
Ir 0.476 0.240 0.981

Entry 2:
Entry from Alexandria via LeMat-Bulk: crystalline MgTl2Ir at its relaxed geometry (PBE).

Results
The value obtained for the magnetization is 0.00 μB per cell. Its final energy is -3.679 eV per atom.

abc: 3.097 4.653 12.844
angles: 90.00 90.00 90.00
Space group Imm2 (No. 44)
Unique sites:
Mg 0.000 0.000 0.000
Tl 0.000 0.000 0.621
Tl 0.000 0.500 0.822
Ir 0.000 0.500 0.328

Entry 3:
Entry from Alexandria via LeMat-Bulk: crystalline MgTlIr2 at its relaxed geometry (PBE).

Results
The value obtained for the magnetization is 0.00 μB per cell. Its final energy is -5.261 eV per atom.

abc: 2.931 2.931 8.500
angles: 90.00 90.00 90.00
Space group P4mm (No. 99)
Unique sites:
Mg 0.000 0.000 0.000
Tl 0.500 0.500 0.324
Ir 0.000 0.000 0.585
Ir 0.500 0.500 0.789

Entry 4:
Entry from Alexandria via LeMat-Bulk: crystalline MgTl3Ir at its relaxed geometry (PBE).

Results
The value obtained for the magnetization is 0.00 μB per cell. Its final energy is -3.280 eV per atom. The calculation puts the energy above the most stable polymorph in this dataset at 0 meV/atom.

abc: 5.331 5.331 5.331
angles: 90.00 90.00 90.00
Space group Pm-3m (No. 221)
Unique sites:
Mg 0.000 0.000 0.000
Tl 0.000 0.500 0.500
Ir 0.500 0.500 0.500

Entry 5:
Entry from Alexandria via LeMat-Bulk: crystalline MgTlIr2 at its relaxed geometry (PBE).

Results
The value obtained for the magnetization is 0.00 μB per cell. Its final energy is -5.195 eV per atom.

abc: 4.021 4.021 8.408
angles: 90.00 90.00 90.00
Space group I-4m2 (No. 119)
Unique sites:
Mg 0.000 0.000 0.000
Tl 0.000 0.500 0.750
Ir 0.000 0.000 0.500
Ir 0.000 0.500 0.250

Entry 6:
Entry from Alexandria via LeMat-Bulk: crystalline MgTlIr2 at its relaxed geometry (PBE).

Results
The value obtained for the magnetization is 0.00 μB per cell. Its final energy is -5.329 eV per atom.

abc: 10.426 2.972 4.921
angles: 90.00 115.03 90.00
Space group Cm (No. 8)
Unique sites:
Mg 0.000 0.000 0.000
Tl 0.281 0.500 0.399
Ir 0.031 0.500 0.500
Ir 0.244 0.000 0.883

Entry 7:
Entry from Alexandria via LeMat-Bulk: crystalline Mg2TlIr at its relaxed geometry (PBE).

Results
The value obtained for the magnetization is 0.00 μB per cell. Its final energy is -3.822 eV per atom.

abc: 3.236 3.190 7.650
angles: 90.00 90.35 90.00
Space group P2/m (No. 10)
Unique sites:
Mg 0.002 0.000 0.191
Tl 0.500 0.500 0.500
Ir 0.500 0.500 0.000

Entry 8:
Entry from Alexandria via LeMat-Bulk: crystalline Mg2TlIr at its relaxed geometry (PBE).

Results
The value obtained for the magnetization is 0.00 μB per cell. Its final energy is -3.659 eV per atom.

abc: 6.414 6.799 3.364
angles: 90.00 90.00 90.00
Space group Cmmm (No. 65)
Unique sites:
Mg 0.250 0.250 0.000
Tl 0.000 0.000 0.500
Ir 0.000 0.500 0.500

Entry 9:
Entry from Alexandria via LeMat-Bulk: crystalline MgTl2Ir at its relaxed geometry (PBE).

Results
The value obtained for the magnetization is 0.00 μB per cell. Its final energy is -3.549 eV per atom.

abc: 4.332 4.332 8.716
angles: 90.00 90.00 90.00
Space group I-4m2 (No. 119)
Unique sites:
Mg 0.000 0.000 0.000
Tl 0.000 0.000 0.500
Tl 0.000 0.500 0.750
Ir 0.000 0.500 0.250

Entry 10:
Entry from Alexandria via LeMat-Bulk: crystalline Mg2Tl2Ir at its relaxed geometry (PBE).

Results
The value obtained for the magnetization is 0.00 μB per cell. Its final energy is -3.087 eV per atom.

abc: 7.236 7.236 4.185
angles: 90.00 90.00 90.00
Space group P4/mbm (No. 127)
Unique sites:
Mg 0.165 0.335 0.000
Tl 0.147 0.647 0.500
Ir 0.000 0.000 0.500

Entry 11:
Entry from Alexandria via LeMat-Bulk: crystalline MgTlIr2 at its relaxed geometry (PBE).

Results
The value obtained for the magnetization is 0.00 μB per cell. Its final energy is -5.121 eV per atom.

abc: 3.012 4.890 9.489
angles: 90.00 90.00 90.00
Space group Cmmm (No. 65)
Unique sites:
Mg 0.000 0.000 0.000
Tl 0.000 0.000 0.500
Ir 0.000 0.500 0.227

Entry 12:
Entry from Alexandria via LeMat-Bulk: crystalline MgTl2Ir at its relaxed geometry (PBE).

Results
The value obtained for the magnetization is 0.00 μB per cell. Its final energy is -3.676 eV per atom.

abc: 10.333 10.333 5.095
angles: 90.00 90.00 90.00
Space group I4_1/amd (No. 141, origin choice 2)
Unique sites:
Mg 0.000 0.250 0.375
Tl 0.000 0.000 0.000
Ir 0.000 0.250 0.875

| no. | formation energy (eV/atom) | N(E_F) (states/eV/cell) |
| --- | --- | --- |
| 1 | -0.180 | 4.91 |
| 2 | 0.118 | 3.68 |
| 3 | 0.160 | 5.16 |
| 4 | 0.231 | 1.70 |
| 5 | 0.226 | 9.46 |
| 6 | 0.091 | 4.22 |
| 7 | -0.218 | 1.55 |
| 8 | -0.055 | 2.17 |
| 9 | 0.248 | 2.27 |
| 10 | 0.270 | 3.31 |
| 11 | 0.300 | 8.73 |
| 12 | 0.121 | 9.97 |